Below is an optimized crystal structure of Y3CrW, with properties calculated at the PBE-GGA level.

abc: 5.092 5.092 5.092
angles: 90.00 90.00 90.00
Site moments in Bohr magnetons follow the coordinates.
Positions (direct):
Y1 0.000 0.500 0.000  0.01
Y2 0.000 0.000 0.500  -0.04
Y3 0.500 0.000 0.000  0.01
Cr1 0.000 0.000 0.000  0.65
W1 0.500 0.500 0.500  2.42

Values from the calculation:
energy above the lowest structure with this stoichiometry: 0.291 eV per atom
total energy: -7.194 eV per atom
DFT formation energy: 1.200 eV per atom


Below is an optimized crystal structure of Tb2NbRu2, with properties calculated at the PBE-GGA level.

abc: 3.993 5.789 5.789
angles: 60.67 69.83 69.83
Positions (direct):
Tb1 0.296 0.204 0.704
Tb2 0.704 0.796 0.296
Nb1 0.500 0.500 0.000
Ru1 0.000 0.227 0.273
Ru2 0.000 0.773 0.727

Values from the calculation:
total energy: -7.886 eV per atom
DFT formation energy: -0.310 eV per atom


Below is an optimized crystal structure of NaHg3Au, with properties calculated at the PBE-GGA level.

abc: 5.544 5.544 5.633
angles: 109.73 109.73 108.33
Positions (direct):
Na1 0.390 0.390 0.781
Hg1 0.684 0.184 0.368
Hg2 0.184 0.684 0.368
Hg3 0.022 0.022 0.044
Au1 0.716 0.716 0.432

Values from the calculation:
energy above the lowest structure with this stoichiometry: 0.023 eV per atom
total energy: -1.227 eV per atom
DFT formation energy: -0.127 eV per atom


Below is an optimized crystal structure of RbCrFeS3, with properties calculated at the PBE-GGA level.

abc: 3.563 8.505 9.294
angles: 116.49 90.00 90.00
Site moments in Bohr magnetons follow the coordinates.
Positions (direct):
Rb1 0.250 0.235 0.249  0.00
Rb2 0.750 0.765 0.751  0.00
Cr1 0.250 0.683 0.150  2.56
Cr2 0.750 0.317 0.850  2.56
Fe1 0.250 0.084 0.606  -1.29
Fe2 0.750 0.916 0.394  -1.29
S1 0.750 0.867 0.139  -0.09
S2 0.250 0.133 0.861  -0.09
S3 0.250 0.801 0.448  -0.04
S4 0.750 0.199 0.552  -0.04
S5 0.750 0.485 0.137  -0.12
S6 0.250 0.515 0.863  -0.12

Values from the calculation:
total energy: -6.012 eV per atom
ΔE_f (raw): -0.7731 eV per atom


Below is an optimized crystal structure of BaNaCu, with properties calculated at the PBE-GGA level.

abc: 4.533 5.050 5.050
angles: 120.00 90.00 90.00
Positions (direct):
Na1 0.166 0.333 0.667
Ba1 0.666 0.667 0.333
Cu1 0.168 0.000 0.000

Values from the calculation:
energy above the lowest structure with this stoichiometry: 0.157 eV per atom
total energy: -2.314 eV per atom
DFT formation energy: 0.132 eV per atom


Below is an optimized crystal structure of BaRuW2, with properties calculated at the PBE-GGA level.

abc: 5.234 5.234 6.038
angles: 78.10 78.10 35.62
Positions (direct):
Ba1 0.750 0.750 0.750
Ru1 0.250 0.250 0.250
W1 0.959 0.959 0.122
W2 0.541 0.541 0.378

Values from the calculation:
energy above the lowest structure with this stoichiometry: 0.162 eV per atom
total energy: -8.399 eV per atom
DFT formation energy: 0.877 eV per atom